# 1
Here is an optimized crystal structure of TaBeGa from the Open Quantum Materials Database. Energies are from PBE.

Properties
Its total energy is -0.201 Ha/atom. As for the space-group type: F-43m (216).

a = 5.9437 Å, b = 5.9437 Å, c = 5.9437 Å
α = 90.00°, β = 90.00°, γ = 90.00°
Last column: nearest neighbours and their distance in Å.
Fractional coordinates of all 12 atoms:
Ta 0.0000 0.0000 0.0000  4 Ga 2.57, 4 Be 2.57
Ta 0.0000 0.5000 0.5000  4 Ga 2.57, 4 Be 2.57
Ta 0.5000 0.0000 0.5000  4 Ga 2.57, 4 Be 2.57
Ta 0.5000 0.5000 0.0000  4 Ga 2.57, 4 Be 2.57
Be 0.2500 0.2500 0.7500  4 Ta 2.57
Be 0.2500 0.7500 0.2500  4 Ta 2.57
Be 0.7500 0.2500 0.2500  4 Ta 2.57
Be 0.7500 0.7500 0.7500  4 Ta 2.57
Ga 0.2500 0.2500 0.2500  4 Ta 2.57
Ga 0.2500 0.7500 0.7500  4 Ta 2.57
Ga 0.7500 0.2500 0.7500  4 Ta 2.57
Ga 0.7500 0.7500 0.2500  4 Ta 2.57

---

# 2
Here is an optimized crystal structure of NaP2Au from the Open Quantum Materials Database. Energies are from PBE.

Properties
Its total energy is -0.153 Ha/atom. As for the space-group type: Cc (9).

a = 6.4683 Å, b = 10.7349 Å, c = 5.6500 Å
α = 90.00°, β = 123.18°, γ = 90.00°
Last column: nearest neighbours and their distance in Å.
Fractional coordinates of all 16 atoms:
Na 0.0000 0.1880 0.0000  3 P 2.92-2.99, 3 Au 2.97-3.10, 2 Na 3.20
Na 0.0000 0.8120 0.5000  3 P 2.92-2.99, 3 Au 2.97-3.10, 2 Na 3.20
Na 0.5000 0.3120 0.5000  3 P 2.92-2.99, 3 Au 2.97-3.10, 2 Na 3.20
Na 0.5000 0.6880 0.0000  3 P 2.92-2.99, 3 Au 2.97-3.10, 2 Na 3.20
P 0.3675 0.0956 0.7162  2 P 2.21-2.24, 1 Au 2.40
P 0.3675 0.9044 0.2162  2 P 2.21-2.24, 1 Au 2.40
P 0.4844 0.0932 0.1635  2 P 2.21-2.24, 1 Au 2.38
P 0.4844 0.9068 0.6635  2 P 2.21-2.24, 1 Au 2.38
P 0.8675 0.4044 0.2162  2 P 2.21-2.24, 1 Au 2.40
P 0.8675 0.5956 0.7162  2 P 2.21-2.24, 1 Au 2.40
P 0.9844 0.4068 0.6635  2 P 2.21-2.24, 1 Au 2.38
P 0.9844 0.5932 0.1635  2 P 2.21-2.24, 1 Au 2.38
Au 0.4246 0.4135 0.9445  2 P 2.38-2.40
Au 0.4246 0.5865 0.4445  2 P 2.38-2.40
Au 0.9246 0.0865 0.4445  2 P 2.38-2.40
Au 0.9246 0.9135 0.9445  2 P 2.38-2.40

---

# 3
Here is an optimized crystal structure of CsCuReTeS2 from the Open Quantum Materials Database. Energies are from PBE.

Properties
Its total energy is -0.185 Ha/atom. As for the space-group type: Cmcm (63).

a = 8.6272 Å, b = 8.6272 Å, c = 9.9080 Å
α = 90.00°, β = 90.00°, γ = 155.30°
Last column: nearest neighbours and their distance in Å.
Fractional coordinates of all 12 atoms:
Cs 0.2193 0.7807 0.7500  4 S 3.46, 2 Cu 3.69, 2 Cs 3.69, 2 Te 3.86
Cs 0.7807 0.2193 0.2500  4 S 3.46, 2 Cu 3.69, 2 Cs 3.69, 2 Te 3.86
Cu 0.4701 0.5299 0.2500  2 S 2.24
Cu 0.5299 0.4701 0.7500  2 S 2.24
Re 0.0000 0.0000 0.0000  4 S 2.46
Re 0.0000 0.0000 0.5000  4 S 2.46
Te 0.0794 0.9206 0.2500  2 Cu 2.61, 2 Re 2.82
Te 0.9206 0.0794 0.7500  2 Cu 2.61, 2 Re 2.82
S 0.4081 0.5919 0.0502  1 Cu 2.24, 2 Re 2.46
S 0.4081 0.5919 0.4498  1 Cu 2.24, 2 Re 2.46
S 0.5919 0.4081 0.5502  1 Cu 2.24, 2 Re 2.46
S 0.5919 0.4081 0.9498  1 Cu 2.24, 2 Re 2.46

---

# 4
Here is an optimized crystal structure of ReAg2SbS6 from the Open Quantum Materials Database. Energies are from PBE.

Properties
Its total energy is -0.156 Ha/atom. As for the space-group type: Fm-3m (225).

a = 6.9403 Å, b = 6.9403 Å, c = 6.9403 Å
α = 60.00°, β = 60.00°, γ = 60.00°
Last column: nearest neighbours and their distance in Å.
Fractional coordinates of all 10 atoms:
Re 0.0000 0.0000 0.0000  6 S 2.33
Ag 0.2500 0.2500 0.2500  12 S 3.47
Ag 0.7500 0.7500 0.7500  12 S 3.47
Sb 0.5000 0.5000 0.5000  6 S 2.58
S 0.2371 0.2371 0.7629  1 Re 2.33, 1 Sb 2.58
S 0.2371 0.7629 0.2371  1 Re 2.33, 1 Sb 2.58
S 0.2371 0.7629 0.7629  1 Re 2.33, 1 Sb 2.58
S 0.7629 0.2371 0.2371  1 Re 2.33, 1 Sb 2.58
S 0.7629 0.2371 0.7629  1 Re 2.33, 1 Sb 2.58
S 0.7629 0.7629 0.2371  1 Re 2.33, 1 Sb 2.58

---

# 5
Here is an optimized crystal structure of BeFeTc2 from the Open Quantum Materials Database. Energies are from PBE.

Properties
Its total energy is -0.298 Ha/atom. As for the space-group type: F-43m (216).

a = 5.8104 Å, b = 5.8104 Å, c = 5.8104 Å
α = 90.00°, β = 90.00°, γ = 90.00°
Last column: nearest neighbours and their distance in Å.
Fractional coordinates of all 16 atoms:
Be 0.0000 0.0000 0.0000  4 Fe 2.52, 4 Tc 2.52
Be 0.0000 0.5000 0.5000  4 Fe 2.52, 4 Tc 2.52
Be 0.5000 0.0000 0.5000  4 Fe 2.52, 4 Tc 2.52
Be 0.5000 0.5000 0.0000  4 Fe 2.52, 4 Tc 2.52
Fe 0.2500 0.2500 0.7500  4 Tc 2.52, 4 Be 2.52
Fe 0.2500 0.7500 0.2500  4 Tc 2.52, 4 Be 2.52
Fe 0.7500 0.2500 0.2500  4 Tc 2.52, 4 Be 2.52
Fe 0.7500 0.7500 0.7500  4 Tc 2.52, 4 Be 2.52
Tc 0.0000 0.0000 0.5000  4 Fe 2.52, 4 Tc 2.52
Tc 0.0000 0.5000 0.0000  4 Fe 2.52, 4 Tc 2.52
Tc 0.2500 0.2500 0.2500  4 Tc 2.52, 4 Be 2.52
Tc 0.2500 0.7500 0.7500  4 Tc 2.52, 4 Be 2.52
Tc 0.5000 0.0000 0.0000  4 Fe 2.52, 4 Tc 2.52
Tc 0.5000 0.5000 0.5000  4 Fe 2.52, 4 Tc 2.52
Tc 0.7500 0.2500 0.7500  4 Tc 2.52, 4 Be 2.52
Tc 0.7500 0.7500 0.2500  4 Tc 2.52, 4 Be 2.52

---

# 6
Here is an optimized crystal structure of Tm4SnC2Se from the Open Quantum Materials Database. Energies are from PBE.

Properties
Its total energy is -0.234 Ha/atom. As for the space-group type: P-6m2 (187).

a = 3.6363 Å, b = 3.6363 Å, c = 14.3097 Å
α = 90.00°, β = 90.00°, γ = 120.00°
Last column: nearest neighbours and their distance in Å.
Fractional coordinates of all 8 atoms:
Tm 0.0000 0.0000 0.1382  3 C 2.48
Tm 0.0000 0.0000 0.8618  3 C 2.48
Tm 0.3333 0.6667 0.3201  3 C 2.46
Tm 0.3333 0.6667 0.6799  3 C 2.46
Sn 0.0000 0.0000 0.5000  6 Tm 3.32, 6 Sn 3.64
C 0.6667 0.3333 0.2303  6 Tm 2.46-2.48
C 0.6667 0.3333 0.7697  6 Tm 2.46-2.48
Se 0.3333 0.6667 0.0000  6 Tm 2.88

---

# 7
Here is an optimized crystal structure of UPaNb from the Open Quantum Materials Database. Energies are from PBE.

Properties
The formation energy is 0.54 eV/atom. As for the space-group type: P-6m2 (187).

a = 5.1034 Å, b = 5.1034 Å, c = 2.8736 Å
α = 90.00°, β = 90.00°, γ = 120.00°
Last column: nearest neighbours and their distance in Å.
Fractional coordinates of all 3 atoms:
U 0.0000 0.0000 0.0000  2 U 2.87, 3 Nb 2.95, 3 Pa 2.95
Pa 0.6667 0.3333 0.0000  2 Pa 2.87, 3 U 2.95, 3 Nb 2.95
Nb 0.3333 0.6667 0.0000  2 Nb 2.87, 3 U 2.95, 3 Pa 2.95

---

# 8
Here is an optimized crystal structure of Lu2U2Ag from the Open Quantum Materials Database. Energies are from PBE.

Properties
The formation energy is 0.72 eV/atom. As for the space-group type: P6_3/mmc (194).

a = 5.2750 Å, b = 5.2750 Å, c = 11.0452 Å
α = 90.00°, β = 90.00°, γ = 120.00°
Last column: nearest neighbours and their distance in Å.
Fractional coordinates of all 10 atoms:
Lu 0.3333 0.6667 0.0869  6 U 3.19-3.54, 3 Ag 3.54
Lu 0.3333 0.6667 0.4131  6 U 3.19-3.54, 3 Ag 3.54
Lu 0.6667 0.3333 0.5869  6 U 3.19-3.54, 3 Ag 3.54
Lu 0.6667 0.3333 0.9131  6 U 3.19-3.54, 3 Ag 3.54
U 0.0000 0.0000 0.0000  2 Ag 2.76
U 0.0000 0.0000 0.5000  2 Ag 2.76
U 0.3333 0.6667 0.7500  3 Ag 3.05
U 0.6667 0.3333 0.2500  3 Ag 3.05
Ag 0.0000 0.0000 0.2500  5 U 2.76-3.05
Ag 0.0000 0.0000 0.7500  5 U 2.76-3.05

---

# 9
Here is an optimized crystal structure of Pr2Al3In3 from the Open Quantum Materials Database. Energies are from PBE.

Properties
Its total energy is -0.147 Ha/atom. As for the space-group type: P-6m2 (187).

a = 6.7503 Å, b = 6.7503 Å, c = 4.8637 Å
α = 90.00°, β = 90.00°, γ = 120.00°
Last column: nearest neighbours and their distance in Å.
Fractional coordinates of all 8 atoms:
Pr 0.0000 0.0000 0.0000  6 Al 3.31, 6 In 3.38
Pr 0.3333 0.6667 0.5000  6 In 3.22, 6 Al 3.39
Al 0.3852 0.1926 0.5000  2 Al 2.85, 4 In 2.98
Al 0.8074 0.1926 0.5000  2 Al 2.85, 4 In 2.98
Al 0.8074 0.6148 0.5000  2 Al 2.85, 4 In 2.98
In 0.5141 0.0282 0.0000  4 Al 2.98, 2 In 3.09, 2 Pr 3.22
In 0.5141 0.4859 0.0000  4 Al 2.98, 2 In 3.09, 2 Pr 3.22
In 0.9718 0.4859 0.0000  4 Al 2.98, 2 In 3.09, 2 Pr 3.22

---

# 10
Here is an optimized crystal structure of AlNiBr6 from the Open Quantum Materials Database. Energies are from PBE.

Properties
Its total energy is -0.090 Ha/atom. As for the space-group type: F-43m (216).

a = 6.9681 Å, b = 6.9681 Å, c = 6.9681 Å
α = 60.00°, β = 60.00°, γ = 60.00°
Last column: nearest neighbours and their distance in Å.
Fractional coordinates of all 8 atoms:
Al 0.0000 0.0000 0.0000  6 Br 2.45
Ni 0.2500 0.2500 0.2500  12 Br 3.48
Br 0.2487 0.2487 0.7513  1 Al 2.45
Br 0.2487 0.7513 0.2487  1 Al 2.45
Br 0.2487 0.7513 0.7513  1 Al 2.45
Br 0.7513 0.2487 0.2487  1 Al 2.45
Br 0.7513 0.2487 0.7513  1 Al 2.45
Br 0.7513 0.7513 0.2487  1 Al 2.45

---

# 11
Here is an optimized crystal structure of Tm3LuTl2C2 from the Open Quantum Materials Database. Energies are from PBE.

Properties
Its total energy is -0.205 Ha/atom. As for the space-group type: P3m1 (156).

a = 3.5513 Å, b = 3.5513 Å, c = 16.0028 Å
α = 90.00°, β = 90.00°, γ = 120.00°
Last column: nearest neighbours and their distance in Å.
Fractional coordinates of all 8 atoms:
Tm 0.0000 0.0000 0.0000  3 C 2.44
Tm 0.0000 0.0000 0.3355  3 C 2.44
Tm 0.6667 0.3333 0.8344  3 C 2.44
Lu 0.6667 0.3333 0.4995  3 C 2.43
Tl 0.0000 0.0000 0.6667  3 Lu 3.37, 3 Tm 3.38, 6 Tl 3.55
Tl 0.6667 0.3333 0.1674  6 Tm 3.37-3.38, 6 Tl 3.55
C 0.3333 0.6667 0.4181  3 Lu 2.43, 3 Tm 2.44
C 0.3333 0.6667 0.9172  6 Tm 2.44

---

# 12
Here is an optimized crystal structure of Mg2Ir from the Open Quantum Materials Database. Energies are from PBE.

Properties
Its total energy is -0.107 Ha/atom. As for the space-group type: Fd-3m (227).

a = 8.0921 Å, b = 8.0921 Å, c = 8.0921 Å
α = 60.00°, β = 60.00°, γ = 60.00°
Last column: nearest neighbours and their distance in Å.
Fractional coordinates of all 6 atoms:
Mg 0.0000 0.0000 0.0000  2 Ir 2.48
Mg 0.0000 0.0000 0.5000  2 Ir 2.48
Mg 0.0000 0.5000 0.0000  2 Ir 2.48
Mg 0.5000 0.0000 0.0000  2 Ir 2.48
Ir 0.1250 0.1250 0.1250  4 Mg 2.48
Ir 0.8750 0.8750 0.8750  4 Mg 2.48

---

# 13
Here is an optimized crystal structure of ScInFeCu from the Open Quantum Materials Database. Energies are from PBE.

Properties
Its total energy is -0.196 Ha/atom. As for the space-group type: F-43m (216).

a = 6.3741 Å, b = 6.3741 Å, c = 6.3741 Å
α = 90.00°, β = 90.00°, γ = 90.00°
Last column: nearest neighbours and their distance in Å.
Fractional coordinates of all 16 atoms:
Sc 0.0000 0.0000 0.0000  4 Cu 2.76, 4 Fe 2.76
Sc 0.0000 0.5000 0.5000  4 Cu 2.76, 4 Fe 2.76
Sc 0.5000 0.0000 0.5000  4 Cu 2.76, 4 Fe 2.76
Sc 0.5000 0.5000 0.0000  4 Cu 2.76, 4 Fe 2.76
In 0.0000 0.0000 0.5000  4 Fe 2.76, 4 Cu 2.76
In 0.0000 0.5000 0.0000  4 Fe 2.76, 4 Cu 2.76
In 0.5000 0.0000 0.0000  4 Fe 2.76, 4 Cu 2.76
In 0.5000 0.5000 0.5000  4 Fe 2.76, 4 Cu 2.76
Fe 0.2500 0.2500 0.2500  4 In 2.76, 4 Sc 2.76
Fe 0.2500 0.7500 0.7500  4 In 2.76, 4 Sc 2.76
Fe 0.7500 0.2500 0.7500  4 In 2.76, 4 Sc 2.76
Fe 0.7500 0.7500 0.2500  4 In 2.76, 4 Sc 2.76
Cu 0.2500 0.2500 0.7500  4 In 2.76, 4 Sc 2.76
Cu 0.2500 0.7500 0.2500  4 In 2.76, 4 Sc 2.76
Cu 0.7500 0.2500 0.2500  4 In 2.76, 4 Sc 2.76
Cu 0.7500 0.7500 0.7500  4 Sc 2.76, 4 In 2.76

---

# 14
Here is an optimized crystal structure of Zr2SnAu2 from the Open Quantum Materials Database. Energies are from PBE.

Properties
Its total energy is -0.208 Ha/atom. As for the space-group type: I4/mmm (139).

a = 4.5045 Å, b = 4.5045 Å, c = 11.7593 Å
α = 90.00°, β = 90.00°, γ = 90.00°
Last column: nearest neighbours and their distance in Å.
Fractional coordinates of all 10 atoms:
Zr 0.0000 0.5000 0.2500  4 Au 2.79
Zr 0.0000 0.5000 0.7500  4 Au 2.79
Zr 0.5000 0.0000 0.2500  4 Au 2.79
Zr 0.5000 0.0000 0.7500  4 Au 2.79
Sn 0.0000 0.0000 0.0000  8 Au 3.44, 8 Zr 3.70
Sn 0.5000 0.5000 0.5000  8 Au 3.44, 8 Zr 3.70
Au 0.0000 0.0000 0.3901  1 Au 2.58, 4 Zr 2.79
Au 0.0000 0.0000 0.6099  1 Au 2.58, 4 Zr 2.79
Au 0.5000 0.5000 0.1099  1 Au 2.58, 4 Zr 2.79
Au 0.5000 0.5000 0.8901  1 Au 2.58, 4 Zr 2.79